# AgGeB

A geometry-optimized AgGeB structure (GGA-PBE, Alexandria via LeMat-Bulk).

Cell: 3.026 5.336 6.181 Å, 92.29 102.73 92.18°
Space group P-1 (No. 2)
Asymmetric unit:
1 Ag 0.093 0.216 0.186 (multiplicity 2)
2 Ge 0.411 0.318 0.808 (multiplicity 2)
3 B 0.269 0.028 0.539 (multiplicity 2)

Results
Energy of formation   0.391 eV/atom



# AgGe2B

A geometry-optimized AgGe2B structure (GGA-PBE, Alexandria via LeMat-Bulk).

Cell: 5.747 5.747 8.885 Å, 90.00 90.00 90.00°
Space group I-42d (No. 122)
Asymmetric unit:
1 Ag 0.000 0.000 0.000 (multiplicity 4)
2 Ge 0.171 0.250 0.625 (multiplicity 8)
3 B 0.000 0.000 0.500 (multiplicity 4)

Results
Energy of formation   0.460 eV/atom



# AgGeB

A geometry-optimized AgGeB structure (GGA-PBE, Alexandria via LeMat-Bulk).

Cell: 3.960 2.997 8.270 Å, 90.00 94.47 90.00°
Space group Pm (No. 6)
Asymmetric unit:
1 Ag 0.000 0.000 0.000 (multiplicity 1)
2 Ag 0.486 0.500 0.798 (multiplicity 1)
3 Ge 0.085 0.500 0.274 (multiplicity 1)
4 Ge 0.974 0.000 0.653 (multiplicity 1)
5 B 0.584 0.500 0.384 (multiplicity 1)
6 B 0.753 0.000 0.409 (multiplicity 1)

Results
Energy of formation   0.379 eV/atom



# AgGeB

A geometry-optimized AgGeB structure (GGA-PBE, Alexandria via LeMat-Bulk).

Cell: 5.385 3.102 6.052 Å, 90.00 105.79 90.00°
Space group Pm (No. 6)
Asymmetric unit:
1 Ag 0.000 0.000 0.000 (multiplicity 1)
2 Ag 0.159 0.500 0.444 (multiplicity 1)
3 Ge 0.596 0.500 0.797 (multiplicity 1)
4 Ge 0.740 0.000 0.453 (multiplicity 1)
5 B 0.387 0.500 0.076 (multiplicity 1)
6 B 0.447 0.000 0.133 (multiplicity 1)

Results
Energy of formation   0.432 eV/atom



# AgGeB

A geometry-optimized AgGeB structure (GGA-PBE, Alexandria via LeMat-Bulk).

Cell: 3.041 5.302 6.189 Å, 81.72 89.99 89.85°
Space group P1 (No. 1)
Asymmetric unit:
1 Ag 0.000 0.000 0.000 (multiplicity 1)
2 Ag 0.496 0.490 0.049 (multiplicity 1)
3 Ge 0.995 0.232 0.366 (multiplicity 1)
4 Ge 0.996 0.519 0.672 (multiplicity 1)
5 B 0.496 0.849 0.714 (multiplicity 1)
6 B 0.995 0.934 0.625 (multiplicity 1)

Results
Energy of formation   0.396 eV/atom



# AgGe2BMo

A geometry-optimized AgGe2BMo structure (GGA-PBE, Alexandria via LeMat-Bulk).

Cell: 4.756 4.756 5.308 Å, 90.00 90.00 90.00°
Space group P4/mmm (No. 123)
Asymmetric unit:
1 Ag 0.000 0.000 0.000 (multiplicity 1)
2 Ge 0.000 0.500 0.000 (multiplicity 2)
3 B 0.500 0.500 0.500 (multiplicity 1)
4 Mo 0.000 0.000 0.500 (multiplicity 1)

Results
Energy of formation   2.131 eV/atom



# AgGe3B4O12

A geometry-optimized AgGe3B4O12 structure (GGA-PBE, Alexandria via LeMat-Bulk).

Cell: 9.5337 9.5337 7.7344 Å, 90.00 90.00 120.00°
Space group R32 (No. 155, hexagonal axes)
Asymmetric unit:
1 Ag 0.0000 0.0000 0.0000 (multiplicity 3)
2 Ge 0.0000 0.5463 0.0000 (multiplicity 9)
3 B 0.0000 0.0000 0.5000 (multiplicity 3)
4 B 0.0000 0.4466 0.5000 (multiplicity 9)
5 O 0.0000 0.5959 0.5000 (multiplicity 9)
6 O 0.0000 0.8538 0.5000 (multiplicity 9)
7 O 0.0236 0.2127 0.2031 (multiplicity 18)

Results
Formation energy (no corrections)   -1.733 eV per atom



# AgGe2BO6

A geometry-optimized AgGe2BO6 structure (GGA-PBE, Alexandria via LeMat-Bulk).

Cell: 10.261 10.509 5.752 Å, 90.00 121.38 90.00°
Space group C2/c (No. 15)
Asymmetric unit:
1 Ag 0.000 0.138 0.250 (multiplicity 4)
2 Ge 0.202 0.414 0.073 (multiplicity 8)
3 B 0.000 0.205 0.750 (multiplicity 4)
4 O 0.092 0.276 0.004 (multiplicity 8)
5 O 0.101 0.119 0.700 (multiplicity 8)
6 O 0.157 0.476 0.754 (multiplicity 8)

Results
Formation energy (no corrections)   -1.553 eV per atom



no.,magnetic moment (Bohr magnetons per cell),energy (eV per cell)
1,0.00,-25.944
2,0.00,-67.690
3,0.00,-26.018
4,0.00,-25.701
5,0.00,-25.916
6,3.49,-18.940
7,0.00,-412.717
8,0.00,-256.191